(P)
VASP calculation (GGA-PBE) on a relaxed Y8CuPd2 crystal.

Unit cell a=6.030 b=7.687 c=7.687 alpha=113.29 beta=100.13 gamma=100.13
Sites, in units of the cell vectors:
Y  0.985  0.784  0.215
Y  0.985  0.215  0.784
Y  0.167  0.366  0.366
Y  0.368  0.921  0.662
Y  0.585  0.085  0.342
Y  0.807  0.643  0.643
Y  0.368  0.662  0.921
Y  0.585  0.342  0.085
Cu  0.168  0.004  0.004
Pd  0.490  0.694  0.317
Pd  0.490  0.317  0.694

Results
- magnetic moment (μB/cell) = 0.000
- calculated volume (Å³ per atom) = 28.2

=====

(Q)
VASP calculation (GGA-PBE) on a relaxed Y8CuPd2 crystal.

Unit cell a=5.099 b=6.796 c=9.162 alpha=104.65 beta=106.15 gamma=90.00
Sites, in units of the cell vectors:
Y  0.203  0.326  0.405
Y  0.333  0.021  0.666
Y  0.967  0.216  0.934
Y  0.797  0.674  0.595
Y  0.667  0.979  0.334
Y  0.591  0.454  0.182
Y  0.033  0.784  0.066
Y  0.409  0.546  0.818
Pd  0.187  0.729  0.374
Pd  0.813  0.271  0.626
Cu  0.500  0.000  0.000

Results
- magnetic moment (μB/cell) = 0.001
- calculated volume (Å³ per atom) = 26.7

=====

Least stable of them? (P).

=====

(P)
VASP calculation (GGA-PBE) on a relaxed YCuPd crystal.

Unit cell a=4.272 b=5.318 c=5.503 alpha=90.00 beta=90.00 gamma=113.68
Sites, in units of the cell vectors:
Cu  0.500  0.000  0.500
Cu  0.500  0.000  0.000
Y  0.796  0.593  0.250
Y  0.204  0.407  0.750
Pd  0.908  0.816  0.750
Pd  0.092  0.184  0.250

Results
- magnetic moment (μB/cell) = 0.000
- calculated volume (Å³ per atom) = 19.1

=====

(Q)
VASP calculation (GGA-PBE) on a relaxed YCuPd crystal.

Unit cell a=3.572 b=4.361 c=4.361 alpha=120.00 beta=90.00 gamma=90.00
Sites, in units of the cell vectors:
Y  0.667  0.667  0.333
Pd  0.167  0.333  0.667
Cu  0.166  0.000  0.000

Results
- magnetic moment (μB/cell) = 0.000
- calculated volume (Å³ per atom) = 19.6

=====

Least stable of them? (Q).

=====

(P)
VASP calculation (GGA-PBE) on a relaxed ZnCu6Pd crystal.

Unit cell a=4.870 b=4.870 c=7.115 alpha=69.99 beta=69.99 gamma=60.00
Sites, in units of the cell vectors:
Cu  0.562  0.062  0.314
Cu  0.938  0.438  0.686
Cu  0.062  0.562  0.314
Cu  0.438  0.938  0.686
Cu  0.938  0.938  0.686
Cu  0.062  0.062  0.314
Pd  0.500  0.500  0.500
Zn  0.000  0.000  0.000

Results
- magnetic moment (μB/cell) = 0.000
- calculated volume (Å³ per atom) = 16.8

=====

(Q)
VASP calculation (GGA-PBE) on a relaxed ZnCu6Pd crystal.

Unit cell a=4.243 b=5.265 c=5.265 alpha=120.15 beta=90.00 gamma=90.00
Sites, in units of the cell vectors:
Cu  0.000  0.587  0.925
Cu  0.000  0.075  0.413
Cu  0.500  0.915  0.085
Cu  0.500  0.915  0.580
Cu  0.000  0.587  0.413
Cu  0.500  0.420  0.085
Pd  0.500  0.417  0.583
Zn  0.000  0.083  0.917

Results
- magnetic moment (μB/cell) = 0.000
- calculated volume (Å³ per atom) = 12.7

=====

Least stable of them? (P).

=====

(P)
VASP calculation (GGA-PBE) on a relaxed Zn5Cu2Pd crystal.

Unit cell a=6.701 b=6.701 c=6.937 alpha=118.88 beta=118.88 gamma=90.00
Sites, in units of the cell vectors:
Cu  0.860  0.640  0.000
Cu  0.140  0.360  0.000
Cu  0.360  0.860  0.000
Cu  0.640  0.140  0.000
Zn  0.507  0.312  0.319
Zn  0.688  0.188  0.681
Zn  0.500  0.500  0.000
Zn  0.007  0.507  0.319
Zn  0.188  0.993  0.681
Zn  0.812  0.007  0.319
Zn  0.000  0.000  0.000
Zn  0.312  0.812  0.319
Zn  0.993  0.493  0.681
Zn  0.493  0.688  0.681
Pd  0.750  0.750  0.500
Pd  0.250  0.250  0.500

Results
- magnetic moment (μB/cell) = 0.000
- calculated volume (Å³ per atom) = 14.2

=====

(Q)
VASP calculation (GGA-PBE) on a relaxed Zn5Cu2Pd crystal.

Unit cell a=3.831 b=3.831 c=7.989 alpha=103.90 beta=103.87 gamma=90.00
Sites, in units of the cell vectors:
Zn  0.369  0.868  0.737
Zn  0.131  0.631  0.263
Zn  0.631  0.132  0.263
Zn  0.000  0.000  0.000
Zn  0.869  0.369  0.737
Cu  0.251  0.250  0.501
Cu  0.749  0.750  0.499
Pd  0.500  0.500  0.000

Results
- magnetic moment (μB/cell) = 0.000
- calculated volume (Å³ per atom) = 13.8

=====

Least stable of them? (P).

=====

(P)
VASP calculation (GGA-PBE) on a relaxed Zn2CuPd8 crystal.

Unit cell a=4.114 b=6.963 c=7.124 alpha=119.26 beta=106.79 gamma=90.00
Sites, in units of the cell vectors:
Pd  0.146  0.146  0.292
Pd  0.854  0.854  0.708
Pd  0.656  0.877  0.311
Pd  0.656  0.435  0.312
Pd  0.000  0.695  0.000
Pd  0.344  0.123  0.689
Pd  0.344  0.565  0.688
Pd  0.000  0.305  0.000
Cu  0.500  0.000  0.000
Zn  0.803  0.303  0.606
Zn  0.197  0.697  0.394

Results
- magnetic moment (μB/cell) = 0.000
- calculated volume (Å³ per atom) = 15.3

=====

(Q)
VASP calculation (GGA-PBE) on a relaxed Zn2CuPd8 crystal.

Unit cell a=4.725 b=6.868 c=6.868 alpha=56.60 beta=75.63 gamma=75.63
Sites, in units of the cell vectors:
Pd  0.220  0.771  0.365
Pd  0.929  0.225  0.225
Pd  0.220  0.365  0.771
Pd  0.667  0.645  0.645
Pd  0.780  0.229  0.635
Pd  0.071  0.775  0.775
Pd  0.333  0.355  0.355
Pd  0.780  0.635  0.229
Zn  0.500  0.132  0.132
Zn  0.500  0.868  0.868
Cu  0.000  0.000  0.000

Results
- magnetic moment (μB/cell) = 0.000
- calculated volume (Å³ per atom) = 16.2

=====

Least stable of them? (Q).

=====

(P)
VASP calculation (GGA-PBE) on a relaxed ZnCu3Pd crystal.

Unit cell a=4.134 b=4.200 c=8.963 alpha=102.19 beta=90.00 gamma=119.48
Sites, in units of the cell vectors:
Cu  0.453  0.905  0.361
Cu  0.646  0.292  0.940
Cu  0.547  0.095  0.639
Cu  0.149  0.298  0.448
Cu  0.354  0.708  0.060
Cu  0.851  0.702  0.552
Pd  0.749  0.498  0.248
Pd  0.251  0.502  0.752
Zn  0.949  0.899  0.849
Zn  0.051  0.101  0.151

Results
- magnetic moment (μB/cell) = 0.000
- calculated volume (Å³ per atom) = 13.1

=====

(Q)
VASP calculation (GGA-PBE) on a relaxed ZnCu3Pd crystal.

Unit cell a=4.668 b=4.668 c=4.668 alpha=90.00 beta=90.00 gamma=90.00
Sites, in units of the cell vectors:
Cu  0.000  0.500  0.000
Cu  0.000  0.000  0.500
Cu  0.500  0.000  0.000
Zn  0.500  0.500  0.500
Pd  0.000  0.000  0.000

Results
- magnetic moment (μB/cell) = 0.000
- calculated volume (Å³ per atom) = 20.3

=====

(R)
VASP calculation (GGA-PBE) on a relaxed ZnCu3Pd crystal.

Unit cell a=4.380 b=4.380 c=4.380 alpha=90.00 beta=90.00 gamma=90.00
Sites, in units of the cell vectors:
Cu  0.000  0.500  0.000
Cu  0.500  0.000  0.000
Cu  0.000  0.000  0.500
Pd  0.500  0.500  0.500
Zn  0.000  0.000  0.000

Results
- magnetic moment (μB/cell) = 0.000
- calculated volume (Å³ per atom) = 16.8

=====

(S)
VASP calculation (GGA-PBE) on a relaxed ZnCu3Pd crystal.

Unit cell a=7.148 b=5.018 c=4.985 alpha=119.95 beta=90.11 gamma=44.99
Sites, in units of the cell vectors:
Pd  0.500  0.000  0.000
Zn  0.000  0.000  0.000
Cu  0.000  0.000  0.500
Cu  0.000  0.500  0.000
Cu  0.000  0.500  0.500

Results
- magnetic moment (μB/cell) = 0.000
- calculated volume (Å³ per atom) = 17.9

=====

Least stable of them? (Q).

=====

(P)
VASP calculation (GGA-PBE) on a relaxed Zn4Cu3Pd crystal.

Unit cell a=4.505 b=5.486 c=8.729 alpha=90.00 beta=90.00 gamma=90.00
Sites, in units of the cell vectors:
Pd  0.000  0.500  0.500
Pd  0.000  0.500  0.000
Zn  0.882  0.754  0.250
Zn  0.118  0.754  0.750
Zn  0.882  0.246  0.250
Zn  0.500  0.246  0.000
Zn  0.500  0.754  0.500
Zn  0.118  0.246  0.750
Zn  0.500  0.246  0.500
Zn  0.500  0.754  0.000
Cu  0.372  0.000  0.250
Cu  0.628  0.000  0.750
Cu  0.000  0.000  0.000
Cu  0.615  0.500  0.750
Cu  0.385  0.500  0.250
Cu  0.000  0.000  0.500

Results
- magnetic moment (μB/cell) = 0.000
- calculated volume (Å³ per atom) = 13.5

=====

(Q)
VASP calculation (GGA-PBE) on a relaxed Zn4Cu3Pd crystal.

Unit cell a=3.880 b=3.887 c=7.659 alpha=75.08 beta=104.64 gamma=90.00
Sites, in units of the cell vectors:
Zn  0.372  0.628  0.744
Zn  0.628  0.372  0.256
Zn  0.872  0.128  0.745
Zn  0.128  0.872  0.255
Cu  0.748  0.752  0.497
Cu  0.000  0.500  0.000
Cu  0.252  0.248  0.503
Pd  0.500  0.000  0.000

Results
- magnetic moment (μB/cell) = 0.000
- calculated volume (Å³ per atom) = 13.5

=====

Least stable of them? (P).

=====

(P)
VASP calculation (GGA-PBE) on a relaxed Zn3CuPd crystal.

Unit cell a=5.170 b=6.678 c=4.396 alpha=90.00 beta=90.65 gamma=90.00
Sites, in units of the cell vectors:
Pd  0.503  0.250  0.855
Pd  0.497  0.750  0.145
Zn  0.988  0.250  0.844
Zn  0.726  0.066  0.347
Zn  0.274  0.934  0.653
Zn  0.012  0.750  0.156
Zn  0.726  0.434  0.347
Zn  0.274  0.566  0.653
Cu  0.785  0.750  0.660
Cu  0.215  0.250  0.340

Results
- magnetic moment (μB/cell) = 0.000
- calculated volume (Å³ per atom) = 15.2

=====

(Q)
VASP calculation (GGA-PBE) on a relaxed Zn3CuPd crystal.

Unit cell a=4.490 b=4.490 c=4.490 alpha=90.00 beta=90.00 gamma=90.00
Sites, in units of the cell vectors:
Zn  0.500  0.000  0.000
Zn  0.000  0.500  0.000
Zn  0.000  0.000  0.500
Pd  0.500  0.500  0.500
Cu  0.000  0.000  0.000

Results
- magnetic moment (μB/cell) = 0.000
- calculated volume (Å³ per atom) = 18.1

=====

Least stable of them? (Q).